1.
LiMgGaHg2 (PBE, optimized geometry); calculated total energy = -7.877 eV per cell; N(E_F) = 1.76 states/eV/f.u.; E_form = -0.15 eV per atom; symmetry = P3m1, No. 156
1.0
-3.321 2.566 1.969
-0.915 -2.421 -3.846
-1.630 -4.657 3.319
Li Mg Ga Hg
1 1 1 2
Direct
0.667 0.333 0.352
0.000 0.000 0.978
0.333 0.667 0.664
0.333 0.667 0.196
0.667 0.333 0.812


2.
CaS2Cl (PBE, optimized geometry); calculated total energy = -9.925 eV per cell; N(E_F) = 8.71 states/eV/f.u.; formation energy (no corrections) = 2.18 eV/f.u.; symmetry = R-3m, No. 166
1.0
-4.807 -4.480 5.870
-1.834 -3.283 7.968
-4.796 -0.939 7.331
Ca S Cl
1 2 1
Direct
0.000 0.000 0.000
0.900 0.900 0.900
0.100 0.100 0.100
0.500 0.500 0.500